# 1
# Ca2Tc2Br, optimized geometry, DFT PBE
# * symmetry: P4/mmm
# * distance to the lowest polymorph of the same formula: 416 meV/atom
# * final energy: -4.311 eV/atom
# * energy relative to the elements, uncorrected: 971 meV/atom
data_Ca2Tc2Br
_space_group_name_H-M_alt 'P 1'
_space_group_IT_number 1
_cell_length_a 5.336
_cell_length_b 5.336
_cell_length_c 4.703
_cell_angle_alpha 90.00
_cell_angle_beta 90.00
_cell_angle_gamma 90.00
loop_
_space_group_symop_operation_xyz
'x,y,z'
loop_
_atom_site_label
_atom_site_fract_x
_atom_site_fract_y
_atom_site_fract_z
_atom_site_occupancy
Ca1 0.000 0.500 0.000 1
Ca2 0.500 0.000 0.000 1
Tc1 0.000 0.000 0.500 1
Tc2 0.500 0.500 0.500 1
Br1 0.000 0.000 0.000 1



# 2
# RbSi4Pd4, optimized geometry, DFT PBE
# * symmetry: I4/m
# * final energy: -5.222 eV/atom
# * energy relative to the elements, uncorrected: -396 meV/atom
data_RbSi4Pd4
_space_group_name_H-M_alt 'P 1'
_space_group_IT_number 1
_cell_length_a 6.794
_cell_length_b 6.794
_cell_length_c 6.794
_cell_angle_alpha 95.22
_cell_angle_beta 95.22
_cell_angle_gamma 144.87
loop_
_space_group_symop_operation_xyz
'x,y,z'
loop_
_atom_site_label
_atom_site_fract_x
_atom_site_fract_y
_atom_site_fract_z
_atom_site_occupancy
Rb1 0.000 0.000 0.000 1
Si1 0.223 0.332 0.555 1
Si2 0.332 0.777 0.108 1
Si3 0.668 0.223 0.892 1
Si4 0.777 0.668 0.445 1
Pd1 0.151 0.582 0.733 1
Pd2 0.418 0.151 0.569 1
Pd3 0.582 0.849 0.431 1
Pd4 0.849 0.418 0.267 1



# 3
# NdDy2Ho6Er, optimized geometry, DFT PBE
# * symmetry: C2/c
# * final energy: -4.480 eV/atom
data_NdDy2Ho6Er
_space_group_name_H-M_alt 'P 1'
_space_group_IT_number 1
_cell_length_a 8.747
_cell_length_b 8.747
_cell_length_c 9.500
_cell_angle_alpha 93.67
_cell_angle_beta 93.67
_cell_angle_gamma 117.79
loop_
_space_group_symop_operation_xyz
'x,y,z'
loop_
_atom_site_label
_atom_site_fract_x
_atom_site_fract_y
_atom_site_fract_z
_atom_site_occupancy
Nd1 0.025 0.975 0.750 1
Nd2 0.975 0.025 0.250 1
Dy1 0.199 0.304 0.546 1
Dy2 0.304 0.199 0.046 1
Dy3 0.696 0.801 0.954 1
Dy4 0.801 0.696 0.454 1
Ho1 0.018 0.567 0.684 1
Ho2 0.124 0.749 0.057 1
Ho3 0.251 0.876 0.443 1
Ho4 0.292 0.509 0.882 1
Ho5 0.433 0.982 0.816 1
Ho6 0.491 0.708 0.618 1
Ho7 0.509 0.292 0.382 1
Ho8 0.567 0.018 0.184 1
Ho9 0.708 0.491 0.118 1
Ho10 0.749 0.124 0.557 1
Ho11 0.876 0.251 0.943 1
Ho12 0.982 0.433 0.316 1
Er1 0.410 0.590 0.250 1
Er2 0.590 0.410 0.750 1



# 4
# TeOsRu2, optimized geometry, DFT PBE
# * symmetry: Cmm2
# * final energy: -7.251 eV/atom
# * energy relative to the elements, uncorrected: 980 meV/atom
data_TeOsRu2
_space_group_name_H-M_alt 'P 1'
_space_group_IT_number 1
_cell_length_a 2.856
_cell_length_b 2.856
_cell_length_c 9.463
_cell_angle_alpha 90.00
_cell_angle_beta 90.00
_cell_angle_gamma 119.41
loop_
_space_group_symop_operation_xyz
'x,y,z'
loop_
_atom_site_label
_atom_site_fract_x
_atom_site_fract_y
_atom_site_fract_z
_atom_site_occupancy
Te1 0.000 0.000 0.000 1
Os1 0.500 0.500 0.283 1
Ru1 0.000 0.000 0.510 1
Ru2 0.500 0.500 0.743 1



# 5
# Ba3SrCa, optimized geometry, DFT PBE
# * symmetry: C2/m
# * distance to the lowest polymorph of the same formula: 0 meV/atom
# * final energy: -1.881 eV/atom
data_Ba3SrCa
_space_group_name_H-M_alt 'P 1'
_space_group_IT_number 1
_cell_length_a 12.647
_cell_length_b 12.647
_cell_length_c 6.838
_cell_angle_alpha 90.01
_cell_angle_beta 90.01
_cell_angle_gamma 31.44
loop_
_space_group_symop_operation_xyz
'x,y,z'
loop_
_atom_site_label
_atom_site_fract_x
_atom_site_fract_y
_atom_site_fract_z
_atom_site_occupancy
Ba1 0.051 0.051 0.250 1
Ba2 0.156 0.156 0.750 1
Ba3 0.344 0.344 0.749 1
Ba4 0.656 0.656 0.251 1
Ba5 0.844 0.844 0.250 1
Ba6 0.949 0.949 0.750 1
Sr1 0.449 0.449 0.250 1
Sr2 0.551 0.551 0.750 1
Ca1 0.250 0.250 0.249 1
Ca2 0.750 0.750 0.751 1



# 6
# TaFe2Te, optimized geometry, DFT PBE
# * symmetry: I-42d
# * final energy: -7.067 eV/atom
# * energy relative to the elements, uncorrected: 913 meV/atom
data_TaFe2Te
_space_group_name_H-M_alt 'P 1'
_space_group_IT_number 1
_cell_length_a 6.931
_cell_length_b 6.931
_cell_length_c 6.931
_cell_angle_alpha 133.96
_cell_angle_beta 133.96
_cell_angle_gamma 67.14
loop_
_space_group_symop_operation_xyz
'x,y,z'
loop_
_atom_site_label
_atom_site_fract_x
_atom_site_fract_y
_atom_site_fract_z
_atom_site_occupancy
Ta1 0.000 0.000 0.000 1
Ta2 0.750 0.250 0.500 1
Fe1 0.112 0.625 0.987 1
Fe2 0.375 0.362 0.487 1
Fe3 0.638 0.125 0.013 1
Fe4 0.875 0.888 0.513 1
Te1 0.250 0.750 0.500 1
Te2 0.500 0.500 0.000 1